Arrangement one

Density functional theory data (PBE) for a relaxed structure of CaHoCo.

a b c (Å): 3.3856 3.3856 6.8615
angles (deg): 104.28 104.28 90.00
Each line ends with the local moment (μB).
Element x y z (fractional)
Ca: 0.0339 0.0339 0.0677  -0.04
Ho: 0.2878 0.2878 0.5755  -0.17
Co: 0.6784 0.6784 0.3567  0.58

Computed properties:
volume = 24.6 Å³ per atom

***

Arrangement two

Density functional theory data (PBE) for a relaxed structure of CaHoCo.

a b c (Å): 3.3152 7.0029 7.6041
angles (deg): 113.21 95.17 106.68
Element x y z (fractional)
Ho: 0.0000 0.5000 0.5000
Ho: 0.5000 0.0000 0.5000
Co: 0.8613 0.8609 0.7233
Co: 0.1387 0.1391 0.2767
Ca: 0.5884 0.2425 0.9993
Ca: 0.4116 0.7575 0.0007

Computed properties:
volume = 25.2 Å³ per atom

***

Energy comparison, zero being the most stable, in meV per atom: arrangement one 0; arrangement two 109.

***

Arrangement one

Density functional theory data (PBE) for a relaxed structure of Ca2CoI.

a b c (Å): 5.3168 5.3168 5.3168
angles (deg): 60.00 60.00 60.00
Each line ends with the local moment (μB).
Element x y z (fractional)
I: 0.5000 0.5000 0.5000  0.00
Co: 0.0000 0.0000 0.0000  1.33
Ca: 0.7500 0.7500 0.7500  -0.12
Ca: 0.2500 0.2500 0.2500  -0.12

Computed properties:
volume = 26.6 Å³ per atom

***

Arrangement two

Density functional theory data (PBE) for a relaxed structure of Ca2CoI.

a b c (Å): 7.6577 7.6577 6.7801
angles (deg): 55.62 55.62 90.00
Element x y z (fractional)
Ca: 0.3750 0.4372 0.7500
Ca: 0.8750 0.8128 0.7500
Ca: 0.1872 0.6250 0.2500
Ca: 0.5628 0.1250 0.2500
Co: 0.5000 0.5000 0.0000
Co: 0.2500 0.7500 0.5000
I: 0.0000 0.0000 0.0000
I: 0.7500 0.2500 0.5000

Computed properties:
volume = 29.9 Å³ per atom

***

Energy comparison, zero being the most stable, in meV per atom: arrangement one 0; arrangement two 6.

***

Arrangement one

Density functional theory data (PBE) for a relaxed structure of CaCo3I.

a b c (Å): 4.6611 4.6611 4.6611
angles (deg): 90.00 90.00 90.00
Each line ends with the local moment (μB).
Element x y z (fractional)
Co: 0.0000 0.5000 0.0000  0.99
Co: 0.5000 0.0000 0.0000  0.93
Co: 0.0000 0.0000 0.5000  0.71
Ca: 0.5000 0.5000 0.5000  -0.06
I: 0.0000 0.0000 0.0000  -0.03

Computed properties:
volume = 20.3 Å³ per atom

***

Arrangement two

Density functional theory data (PBE) for a relaxed structure of CaCo3I.

a b c (Å): 4.8387 4.8387 4.8387
angles (deg): 90.00 90.00 90.00
Each line ends with the local moment (μB).
Element x y z (fractional)
Ca: 0.0000 0.0000 0.0000  -0.19
Co: 0.0000 0.0000 0.5000  1.45
Co: 0.0000 0.5000 0.0000  1.58
Co: 0.5000 0.0000 0.0000  1.41
I: 0.5000 0.5000 0.5000  0.05

Computed properties:
volume = 22.7 Å³ per atom

***

Energy comparison, zero being the most stable, in meV per atom: arrangement one 0; arrangement two 944.

***

Arrangement one

Density functional theory data (PBE) for a relaxed structure of CaCoI3.

a b c (Å): 6.0702 6.0702 6.0702
angles (deg): 90.00 90.00 90.00
Each line ends with the local moment (μB).
Element x y z (fractional)
I: 0.0000 0.5000 0.0000  0.02
I: 0.5000 0.0000 0.0000  0.02
I: 0.0000 0.0000 0.5000  0.01
Ca: 0.0000 0.0000 0.0000  0.00
Co: 0.5000 0.5000 0.5000  2.42

Computed properties:
volume = 44.7 Å³ per atom

***

Arrangement two

Density functional theory data (PBE) for a relaxed structure of CaCoI3.

a b c (Å): 5.4222 5.4222 5.4222
angles (deg): 90.00 90.00 90.00
Each line ends with the local moment (μB).
Element x y z (fractional)
I: 0.5000 0.0000 0.0000  0.02
I: 0.0000 0.5000 0.0000  0.04
I: 0.0000 0.0000 0.5000  0.04
Ca: 0.5000 0.5000 0.5000  -0.01
Co: 0.0000 0.0000 0.0000  1.71

Computed properties:
volume = 31.9 Å³ per atom

***

Energy comparison, zero being the most stable, in meV per atom: arrangement one 372; arrangement two 0.

***

Arrangement one

Density functional theory data (PBE) for a relaxed structure of CaCoIN2.

a b c (Å): 4.0313 4.0313 5.2546
angles (deg): 90.00 90.00 90.00
Each line ends with the local moment (μB).
Element x y z (fractional)
N: 0.0000 0.5000 0.0000  0.76
N: 0.5000 0.0000 0.0000  0.76
Ca: 0.5000 0.5000 0.5000  -0.01
Co: 0.0000 0.0000 0.0000  1.43
I: 0.0000 0.0000 0.5000  0.06

Computed properties:
volume = 17.1 Å³ per atom

***

Arrangement two

Density functional theory data (PBE) for a relaxed structure of CaCoIN2.

a b c (Å): 4.5158 4.5158 6.3499
angles (deg): 90.00 90.00 90.00
Each line ends with the local moment (μB).
Element x y z (fractional)
Co: 0.5000 0.5000 0.5000  2.07
I: 0.0000 0.0000 0.5000  0.05
Ca: 0.0000 0.0000 0.0000  0.04
N: 0.0000 0.5000 0.0000  1.28
N: 0.5000 0.0000 0.0000  1.28

Computed properties:
volume = 25.9 Å³ per atom

***

Energy comparison, zero being the most stable, in meV per atom: arrangement one 0; arrangement two 963.

***

Arrangement one

Density functional theory data (PBE) for a relaxed structure of CaCoI2N.

a b c (Å): 6.1089 6.1089 4.6210
angles (deg): 90.00 90.00 90.00
Each line ends with the local moment (μB).
Element x y z (fractional)
N: 0.0000 0.0000 0.5000  1.21
Ca: 0.0000 0.0000 0.0000  0.01
Co: 0.5000 0.5000 0.5000  2.26
I: 0.5000 0.0000 0.0000  0.06
I: 0.0000 0.5000 0.0000  0.06

Computed properties:
volume = 34.5 Å³ per atom

***

Arrangement two

Density functional theory data (PBE) for a relaxed structure of CaCoI2N.

a b c (Å): 5.5671 5.5671 3.6059
angles (deg): 90.00 90.00 90.00
Element x y z (fractional)
N: 0.0000 0.0000 0.5000
I: 0.0000 0.5000 0.0000
I: 0.5000 0.0000 0.0000
Ca: 0.5000 0.5000 0.5000
Co: 0.0000 0.0000 0.0000

Computed properties:
volume = 22.4 Å³ per atom

***

Energy comparison, zero being the most stable, in meV per atom: arrangement one 933; arrangement two 0.